VASP calculation (PBE) on a relaxed structure of RbP2BrO.

Lattice parameters (Å, degrees): 6.9031 6.9031 4.9610 90.00 90.00 90.00
Last column: nearest neighbours and their distance in Å.
Fractional coordinates of all 5 atoms:
Rb: 0.0000 0.0000 0.0000  2 O 2.48
P: 0.0000 0.5000 0.0000  2 Rb 3.45
P: 0.5000 0.0000 0.0000  2 Rb 3.45
Br: 0.5000 0.5000 0.5000  8 P 4.25
O: 0.0000 0.0000 0.5000  2 Rb 2.48

As for the total magnetization: 6.6 μB per cell. Its formation energy from raw total energies is 1.455 eV per atom.